[1]
A relaxed structure of MnRe3, computed with PBE.

Unit cell a=2.7390 b=8.6985 c=2.7390 alpha=90.00 beta=120.00 gamma=90.00
Fractional coordinates of all 4 atoms:
Re 0.0000 0.5000 0.0000
Re 0.6667 0.7617 0.3333
Re 0.6667 0.2383 0.3333
Mn 0.0000 0.0000 0.0000

Energy relative to the elements ... 0.086 eV/atom
Space-group type ... No. 187
Size of the total moment ... 0.000 μB/atom
V ... 57 Å³ per cell

=====

[2]
A relaxed structure of Ce2HgAs, computed with PBE.

Unit cell a=4.0740 b=4.0740 c=8.3936 alpha=75.96 beta=75.96 gamma=60.00
Fractional coordinates of all 4 atoms:
Ce 0.0719 0.0719 0.7843
Ce 0.2613 0.2613 0.2161
Hg 0.4995 0.4995 0.5014
As 0.6673 0.6673 0.9982

Energy relative to the elements ... -0.738 eV/atom
Space-group type ... No. 160
Size of the total moment ... 0.440 μB/atom
V ... 116 Å³ per cell

=====

[3]
A relaxed structure of Hg12Te5Br3, computed with PBE.

Unit cell a=15.4637 b=15.4637 c=15.4637 alpha=109.47 beta=109.47 gamma=109.47
Fractional coordinates of all 80 atoms:
Te 0.2500 0.8750 0.1250
Te 0.8750 0.2500 0.6250
Te 0.5000 0.5000 0.5000
Te 0.1250 0.3750 0.2500
Te 0.0000 0.0000 0.5000
Te 0.2500 0.3750 0.6250
Te 0.7500 0.1250 0.8750
Te 0.5000 0.0000 0.0000
Te 0.3750 0.1250 0.7500
Te 0.0000 0.5000 0.5000
Te 0.5000 0.5000 0.0000
Te 0.5000 0.0000 0.5000
Te 0.1250 0.7500 0.3750
Te 0.8750 0.6250 0.7500
Te 0.6250 0.7500 0.8750
Te 0.6250 0.8750 0.2500
Te 0.0000 0.5000 0.0000
Te 0.0000 0.0000 0.0000
Te 0.3750 0.2500 0.1250
Te 0.7500 0.6250 0.3750
Hg 0.0583 0.6389 0.7244
Hg 0.2244 0.6661 0.0855
Hg 0.1389 0.7244 0.5583
Hg 0.2244 0.5583 0.6389
Hg 0.6389 0.0583 0.2244
Hg 0.7244 0.1389 0.0583
Hg 0.6661 0.2244 0.5855
Hg 0.3339 0.5583 0.4194
Hg 0.6661 0.4417 0.5806
Hg 0.0806 0.9145 0.1389
Hg 0.9194 0.0855 0.8611
Hg 0.1661 0.0855 0.7244
Hg 0.9417 0.3611 0.2756
Hg 0.4417 0.6661 0.0806
Hg 0.6389 0.5806 0.9145
Hg 0.4194 0.0583 0.3339
Hg 0.4194 0.3611 0.5855
Hg 0.5583 0.2244 0.1389
Hg 0.4417 0.7756 0.8611
Hg 0.9194 0.8339 0.5583
Hg 0.3339 0.7756 0.4145
Hg 0.9417 0.5806 0.1661
Hg 0.5806 0.6389 0.4145
Hg 0.8339 0.9145 0.2756
Hg 0.9145 0.8339 0.7756
Hg 0.0855 0.1661 0.2244
Hg 0.7244 0.5855 0.1661
Hg 0.7756 0.4417 0.3611
Hg 0.5855 0.8611 0.4194
Hg 0.5583 0.3339 0.9194
Hg 0.4145 0.2756 0.3339
Hg 0.4145 0.1389 0.5806
Hg 0.2756 0.8611 0.9417
Hg 0.0855 0.9194 0.3611
Hg 0.7756 0.3339 0.9145
Hg 0.9145 0.0806 0.6389
Hg 0.3611 0.4194 0.0855
Hg 0.2756 0.4145 0.8339
Hg 0.8339 0.9194 0.0583
Hg 0.0806 0.1661 0.4417
Hg 0.5806 0.9417 0.6661
Hg 0.1661 0.0806 0.9417
Hg 0.1389 0.4145 0.0806
Hg 0.8611 0.2756 0.4417
Hg 0.3611 0.9417 0.7756
Hg 0.8611 0.5855 0.9194
Hg 0.0583 0.4194 0.8339
Hg 0.5855 0.7244 0.6661
Br 0.8750 0.7500 0.1250
Br 0.1250 0.2500 0.8750
Br 0.2500 0.6250 0.8750
Br 0.1250 0.8750 0.7500
Br 0.2500 0.1250 0.3750
Br 0.7500 0.8750 0.6250
Br 0.8750 0.1250 0.2500
Br 0.3750 0.7500 0.6250
Br 0.7500 0.3750 0.1250
Br 0.6250 0.3750 0.7500
Br 0.6250 0.2500 0.3750
Br 0.3750 0.6250 0.2500

E_form (uncorrected) ... 0.011 eV per atom
Space-group type ... No. 230
Size of the total moment ... 0.000 μB/atom
V ... 2847 Å³ per cell

=====

[4]
A relaxed structure of Tm3Tl4Ag2, computed with PBE.

Unit cell a=4.9529 b=6.0600 c=9.2678 alpha=116.34 beta=90.00 gamma=114.12
Fractional coordinates of all 9 atoms:
Tl 0.9355 0.8709 0.6098
Tl 0.7400 0.4800 0.0853
Tl 0.2600 0.5200 0.9147
Tl 0.0645 0.1291 0.3902
Ag 0.5956 0.1913 0.2670
Ag 0.4044 0.8087 0.7330
Tm 0.6666 0.3332 0.6575
Tm 0.3334 0.6668 0.3425
Tm 0.0000 0.0000 0.0000

Energy relative to the elements ... -0.197 eV/atom
Space-group type ... No. 12
Size of the total moment ... 0.000 μB/atom
V ... 222 Å³ per cell